# 1
An optimized crystal structure of Hg2SbBr. Source: Alexandria via LeMat-Bulk, functional PBE.

a b c (Å): 4.2753 6.4103 8.4514
angles (deg): 90.00 90.00 90.00
With the nearest neighbours (Å) after each atom.
Space group Cmmm (No. 65)
One atom of each set of equivalent atoms:
Hg 0.0000 0.0000 0.2440  2 Sb 2.97, 2 Br 3.04
Sb 0.0000 0.5000 0.0000  4 Hg 2.97
Br 0.0000 0.5000 0.5000  4 Hg 3.04

ΔE to the lowest computed polymorph in meV/atom: 227
Total magnetization in μB/atom: 0.000
Energy relative to the elements, uncorrected in meV/atom: 22.7

# 2
An optimized crystal structure of Hg2SbBr. Source: Alexandria via LeMat-Bulk, functional PBE.

a b c (Å): 7.4877 8.0459 10.0502
angles (deg): 90.00 92.15 90.00
With the nearest neighbours (Å) after each atom.
Space group P2_1/c (No. 14)
One atom of each set of equivalent atoms:
Hg 0.0266 0.0738 0.2503  2 Sb 2.73
Hg 0.3879 0.7269 0.5210  2 Sb 2.76-2.78, 1 Br 2.77
Sb 0.2434 0.6993 0.7691  4 Hg 2.73-2.78
Br 0.2443 0.1874 0.9840  1 Hg 2.77

ΔE to the lowest computed polymorph in meV/atom: 0
Total magnetization in μB/atom: 0.000
Energy relative to the elements, uncorrected in meV/atom: -204.1